Entry 1:
VCN2F | PBE with a Hubbard U | optimized geometry

Cell lengths 3.828, 3.828, 3.792 Å; angles 90.00, 90.00, 90.00 degrees
Fractional positions:
N (0.000, 0.500, 0.000)
N (0.500, 0.000, 0.000)
V (0.000, 0.000, 0.000)
C (0.500, 0.500, 0.500)
F (0.000, 0.000, 0.500)

## Properties
Raw total energy = -28.1 eV/cell

Entry 2:
VCNF2 | PBE with a Hubbard U | optimized geometry

Cell lengths 4.555, 4.555, 2.511 Å; angles 90.00, 90.00, 90.00 degrees
Fractional positions:
V (0.500, 0.500, 0.500)
C (0.000, 0.000, 0.000)
N (0.000, 0.000, 0.500)
F (0.500, 0.000, 0.000)
F (0.000, 0.500, 0.000)

## Properties
Energy above the lowest structure with this stoichiometry = 0.000 eV/atom

Entry 3:
VCN2F | PBE with a Hubbard U | optimized geometry

Cell lengths 3.107, 3.107, 4.822 Å; angles 90.00, 90.00, 90.00 degrees
Fractional positions:
F (0.000, 0.000, 0.500)
N (0.000, 0.500, 0.000)
N (0.500, 0.000, 0.000)
V (0.500, 0.500, 0.500)
C (0.000, 0.000, 0.000)

## Properties
Raw total energy = -29.8 eV/cell

Entry 4:
VCNF2 | PBE with a Hubbard U | optimized geometry

Cell lengths 3.879, 3.879, 3.917 Å; angles 90.00, 90.00, 90.00 degrees
Fractional positions:
F (0.500, 0.000, 0.000)
F (0.000, 0.500, 0.000)
N (0.000, 0.000, 0.500)
V (0.000, 0.000, 0.000)
C (0.500, 0.500, 0.500)

## Properties
Energy above the lowest structure with this stoichiometry = 0.601 eV/atom

What are the spin magnetization values for these records? In order: 0.11; 0.68; 0.61; 0.40 μB/atom.
What are the density values for these records? In order: 3.29; 3.66; 3.92; 3.24 g/cm3.